[1]
Entry from Alexandria via LeMat-Bulk: a relaxed structure of SnHg (GGA-PBE).

Unit cell a=7.4705 b=7.4705 c=7.4705 alpha=149.91 beta=61.55 gamma=127.68
Last column: nearest neighbours and their distance in Å.
Sites, in units of the cell vectors:
Sn1 0.0000 0.0000 0.0000  5 Hg 3.05-3.34, 4 Sn 3.18
Sn2 0.5939 0.2349 0.3590  6 Hg 3.08-3.34, 2 Sn 3.18
Sn3 0.8758 0.2349 0.6410  6 Hg 3.08-3.34, 2 Sn 3.18
Hg1 0.0651 0.7382 0.3269  6 Sn 3.08-3.34, 2 Hg 3.30
Hg2 0.4114 0.7382 0.6731  6 Sn 3.08-3.34, 2 Hg 3.30
Hg3 0.4629 0.4629 0.0000  5 Sn 3.05-3.20, 4 Hg 3.30

**Symmetry**: Imm2, No. 44
**Spin magnetization**: 0.000 μB/f.u.

[2]
Entry from Alexandria via LeMat-Bulk: a relaxed structure of NaTl2BAu (GGA-PBE).

Unit cell a=5.2446 b=5.2446 c=4.2997 alpha=90.00 beta=90.00 gamma=90.00
Last column: nearest neighbours and their distance in Å.
Sites, in units of the cell vectors:
Na1 0.0000 0.0000 0.0000  8 Tl 3.39, 4 Au 3.71
Tl1 0.0000 0.5000 0.5000  2 B 2.62
Tl2 0.5000 0.0000 0.5000  2 B 2.62
B1 0.5000 0.5000 0.5000  2 Au 2.15
Au1 0.5000 0.5000 0.0000  2 B 2.15

**Symmetry**: P4/mmm, No. 123
**Spin magnetization**: 0.000 μB/f.u.

[3]
Entry from Alexandria via LeMat-Bulk: a relaxed structure of ZrReTe2 (GGA-PBE).

Unit cell a=5.3416 b=5.3416 c=5.3416 alpha=131.34 beta=131.34 gamma=71.28
Last column: nearest neighbours and their distance in Å.
Sites, in units of the cell vectors:
Zr1 0.0000 0.0000 0.0000  8 Te 3.09-3.11, 4 Re 3.09
Re1 0.2500 0.7500 0.5000  4 Zr 3.09, 8 Te 3.09-3.11
Te1 0.5000 0.5000 0.0000  4 Re 3.09, 4 Te 3.09, 4 Zr 3.11
Te2 0.7500 0.2500 0.5000  4 Zr 3.09, 4 Te 3.09, 4 Re 3.11

**Symmetry**: I-4m2, No. 119
**Energy above the most stable polymorph in this dataset**: 0.574 eV per atom
**Spin magnetization**: 0.000 μB/f.u.
**Formation energy from raw total energies**: 0.3567 eV per atom

Summary of E_tot in eV/cell
-12.5; -14.5; -25.9
(order as listed above)